# PBr2, relaxed, DFT PBE
data_PBr2
_cell_length_a 7.0555
_cell_length_b 7.0555
_cell_length_c 2.4491
_cell_angle_alpha 90.00
_cell_angle_beta 90.00
_cell_angle_gamma 120.00
_space_group_name_H-M_alt 'P 6/m m m'
_space_group_IT_number 191
_space_group_name_Hall '-P 6 2'
loop_
_atom_site_label
_atom_site_type_symbol
_atom_site_fract_x
_atom_site_fract_y
_atom_site_fract_z
P1 P 0.0000 0.0000 0.0000
Br1 Br 0.3333 0.6667 0.5000
# Size of the total moment, μB/f.u.: 0.0
# Energy relative to the elements, uncorrected, meV per atom: 699
# Total DFT energy (no corrections), eV/atom: -2.2198